Record 1
In3FeAs after structural relaxation. Source: Alexandria, functional PBE.

Its density of states at the Fermi level is 8.46 states/eV/cell. For the total magnetic moment, the calculation gives 3.2 μB/f.u. As for the theoretical density: 5.144 g/cm³. The energy of formation is 0.92 eV per atom.

a = 5.353 Å, b = 5.353 Å, c = 5.353 Å
α = 90.00°, β = 90.00°, γ = 90.00°
Site moments in Bohr magnetons follow the coordinates.
Atoms (fractional coordinates):
In (0.000, 0.000, 0.500)  0.00
As (0.000, 0.000, 0.000)  0.01
Fe (0.500, 0.500, 0.500)  3.25
In (0.500, 0.000, 0.000)  -0.02
In (0.000, 0.500, 0.000)  -0.03

***

Record 2
HfCo2Ag after structural relaxation. Source: Alexandria, functional PBE.

Its density of states at the Fermi level is 4.89 states/eV/cell. For the total magnetic moment, the calculation gives 0.5 μB/f.u. As for the theoretical density: 11.540 g/cm³. The energy of formation is 0.02 eV per atom.

a = 4.349 Å, b = 4.349 Å, c = 4.349 Å
α = 60.00°, β = 60.00°, γ = 60.00°
Site moments in Bohr magnetons follow the coordinates.
Atoms (fractional coordinates):
Co (0.250, 0.250, 0.250)  0.33
Co (0.750, 0.750, 0.750)  0.33
Hf (0.500, 0.500, 0.500)  -0.10
Ag (0.000, 0.000, 0.000)  -0.01

***

Record 3
LaPr2Sm2Ho after structural relaxation. Source: Alexandria, functional PBE.

Its density of states at the Fermi level is 17.88 states/eV/cell. For the total magnetic moment, the calculation gives 0.0 μB/f.u. As for the theoretical density: 7.086 g/cm³. The energy of formation is 0.06 eV per atom.

a = 5.798 Å, b = 7.144 Å, c = 10.029 Å
α = 90.00°, β = 90.00°, γ = 90.00°
Atoms (fractional coordinates):
Ho (0.500, 0.258, 0.665)
Sm (0.000, 0.258, 0.835)
Sm (0.000, 0.758, 0.165)
Pr (0.000, 0.758, 0.831)
Sm (0.500, 0.258, 0.331)
La (0.000, 0.508, 0.500)
Pr (0.500, 0.508, 0.000)
Sm (0.500, 0.758, 0.669)
Ho (0.500, 0.758, 0.335)
Pr (0.500, 0.008, 0.000)
Pr (0.000, 0.258, 0.169)
La (0.000, 0.008, 0.500)

***

Record 4
TcPt2W after structural relaxation. Source: Alexandria, functional PBE.

Its density of states at the Fermi level is 4.11 states/eV/cell. For the total magnetic moment, the calculation gives 0.0 μB/f.u. As for the theoretical density: 18.255 g/cm³. The energy of formation is -0.15 eV per atom.

a = 6.091 Å, b = 4.928 Å, c = 2.733 Å
α = 89.95°, β = 63.43°, γ = 119.60°
Atoms (fractional coordinates):
W (0.500, 0.500, 0.000)
Pt (0.000, 0.000, 0.000)
Pt (0.500, 0.000, 0.500)
Tc (0.000, 0.500, 0.500)

***

Record 5
NaPm2Ag after structural relaxation. Source: Alexandria, functional PBE.

Its density of states at the Fermi level is 5.02 states/eV/cell. For the total magnetic moment, the calculation gives 0.5 μB/f.u. As for the theoretical density: 6.162 g/cm³. The energy of formation is 0.09 eV per atom.

a = 5.433 Å, b = 5.433 Å, c = 5.433 Å
α = 60.00°, β = 60.00°, γ = 60.00°
Site moments in Bohr magnetons follow the coordinates.
Atoms (fractional coordinates):
Pm (0.250, 0.250, 0.250)  0.13
Ag (0.000, 0.000, 0.000)  0.02
Pm (0.750, 0.750, 0.750)  0.13
Na (0.500, 0.500, 0.500)  0.00

***

Record 6
Ac4GaHg2 after structural relaxation. Source: Alexandria, functional PBE.

Its density of states at the Fermi level is 9.83 states/eV/cell. For the total magnetic moment, the calculation gives 0.0 μB/f.u. As for the theoretical density: 9.150 g/cm³. The energy of formation is -0.32 eV per atom.

a = 5.645 Å, b = 5.645 Å, c = 9.634 Å
α = 72.96°, β = 72.96°, γ = 60.00°
Atoms (fractional coordinates):
Ac (0.876, 0.876, 0.373)
Ac (0.124, 0.124, 0.627)
Hg (0.249, 0.249, 0.253)
Ac (0.624, 0.624, 0.128)
Ga (0.000, 0.000, 0.000)
Hg (0.751, 0.751, 0.747)
Ac (0.376, 0.376, 0.872)

***

Copy entry 3 word for word.
LaPr2Sm2Ho after structural relaxation. Source: Alexandria, functional PBE.

Its density of states at the Fermi level is 17.88 states/eV/cell. For the total magnetic moment, the calculation gives 0.0 μB/f.u. As for the theoretical density: 7.086 g/cm³. The energy of formation is 0.06 eV per atom.

a = 5.798 Å, b = 7.144 Å, c = 10.029 Å
α = 90.00°, β = 90.00°, γ = 90.00°
Atoms (fractional coordinates):
Ho (0.500, 0.258, 0.665)
Sm (0.000, 0.258, 0.835)
Sm (0.000, 0.758, 0.165)
Pr (0.000, 0.758, 0.831)
Sm (0.500, 0.258, 0.331)
La (0.000, 0.508, 0.500)
Pr (0.500, 0.508, 0.000)
Sm (0.500, 0.758, 0.669)
Ho (0.500, 0.758, 0.335)
Pr (0.500, 0.008, 0.000)
Pr (0.000, 0.258, 0.169)
La (0.000, 0.008, 0.500)

***

- Which of these has the lowest theoretical density?
  In3FeAs

***

- Number 1 is which compound?
  In3FeAs

***

- total magnetic moment of number 5 (NaPm2Ag)?
  0.5 μB/f.u.